No. 1
The following is a PBE-GGA calculation of an optimized crystal structure of HgPbC3, from the Alexandria database.

Geometry as POSCAR:
```
HgPbC3
1.0
4.438 0.000 0.000
0.000 4.438 0.000
0.000 0.000 4.438
Hg Pb C
1 1 3
Direct
0.000 0.000 0.000
0.500 0.500 0.500
0.000 0.000 0.500
0.000 0.500 0.000
0.500 0.000 0.000
```

- DOS at the Fermi energy: 3.67 states/eV/cell
- Relative energy among the computed polymorphs: 0 meV per atom
- Crystal system: cubic
- Energy of formation from the pure elements: 3.17 eV per atom



No. 2
The following is a PBE-GGA calculation of an optimized crystal structure of Co2TcPt, from the Alexandria database.

Geometry as POSCAR:
```
Co2TcPt
1.0
5.990 0.000 0.000
0.000 5.990 0.000
0.000 0.000 5.990
Co Tc Pt
8 4 4
Direct
0.000 0.000 0.000
0.000 0.500 0.500
0.250 0.250 0.250
0.250 0.750 0.750
0.500 0.000 0.500
0.500 0.500 0.000
0.750 0.250 0.750
0.750 0.750 0.250
0.000 0.000 0.500
0.000 0.500 0.000
0.500 0.000 0.000
0.500 0.500 0.500
0.250 0.250 0.750
0.250 0.750 0.250
0.750 0.250 0.250
0.750 0.750 0.750
```

- DOS at the Fermi energy: 15.40 states/eV/cell
- Relative energy among the computed polymorphs: 275 meV per atom
- Crystal system: cubic
- Energy of formation from the pure elements: 0.26 eV per atom



No. 3
The following is a PBE-GGA calculation of an optimized crystal structure of Tb3Rh5N12, from the Alexandria database.

Geometry as POSCAR:
```
Tb3Rh5N12
1.0
-6.316 6.316 6.316
6.316 -6.316 6.316
6.316 6.316 -6.316
Tb Rh N
12 20 48
Direct
0.125 0.250 0.375
0.125 0.375 0.750
0.250 0.375 0.125
0.250 0.875 0.625
0.375 0.125 0.250
0.375 0.750 0.125
0.625 0.250 0.875
0.625 0.875 0.750
0.750 0.125 0.375
0.750 0.625 0.875
0.875 0.625 0.250
0.875 0.750 0.625
0.000 0.000 0.000
0.000 0.000 0.500
0.000 0.500 0.000
0.000 0.500 0.500
0.125 0.750 0.875
0.125 0.875 0.250
0.250 0.125 0.875
0.250 0.625 0.375
0.375 0.250 0.625
0.375 0.625 0.750
0.500 0.000 0.000
0.500 0.000 0.500
0.500 0.500 0.000
0.500 0.500 0.500
0.625 0.375 0.250
0.625 0.750 0.375
0.750 0.375 0.625
0.750 0.875 0.125
0.875 0.125 0.750
0.875 0.250 0.125
0.025 0.207 0.118
0.025 0.319 0.907
0.088 0.707 0.681
0.088 0.882 0.407
0.093 0.618 0.412
0.093 0.975 0.681
0.118 0.025 0.207
0.118 0.593 0.912
0.181 0.207 0.588
0.181 0.475 0.593
0.207 0.118 0.025
0.207 0.588 0.181
0.293 0.319 0.912
0.293 0.475 0.382
0.319 0.907 0.025
0.319 0.912 0.293
0.382 0.293 0.475
0.382 0.588 0.907
0.407 0.088 0.882
0.407 0.819 0.525
0.412 0.093 0.618
0.412 0.819 0.793
0.475 0.382 0.293
0.475 0.593 0.181
0.525 0.407 0.819
0.525 0.618 0.707
0.588 0.181 0.207
0.588 0.907 0.382
0.593 0.181 0.475
0.593 0.912 0.118
0.618 0.412 0.093
0.618 0.707 0.525
0.681 0.088 0.707
0.681 0.093 0.975
0.707 0.525 0.618
0.707 0.681 0.088
0.793 0.412 0.819
0.793 0.882 0.975
0.819 0.525 0.407
0.819 0.793 0.412
0.882 0.407 0.088
0.882 0.975 0.793
0.907 0.025 0.319
0.907 0.382 0.588
0.912 0.118 0.593
0.912 0.293 0.319
0.975 0.681 0.093
0.975 0.793 0.882
```

- DOS at the Fermi energy: 37.00 states/eV/cell
- Crystal system: cubic
- E_form (uncorrected): 2.45 eV/f.u.



No. 4
The following is a PBE-GGA calculation of an optimized crystal structure of YNiOs, from the Alexandria database.

Geometry as POSCAR:
```
YNiOs
1.0
3.292 0.000 0.000
0.000 3.292 0.000
0.000 0.000 9.774
Y Ni Os
2 2 2
Direct
0.000 0.000 0.000
0.500 0.500 0.500
0.000 0.000 0.707
0.500 0.500 0.207
0.000 0.000 0.301
0.500 0.500 0.801
```

- DOS at the Fermi energy: 10.84 states/eV/cell
- Relative energy among the computed polymorphs: 457 meV per atom
- Crystal system: tetragonal
- Energy of formation from the pure elements: 0.10 eV per atom